[1]
Compound: Tm6PtO12
Source: the Alexandria database
Functional: GGA-PBE
Structure: relaxed

Values from the calculation:
DFT total energy   -446.035 eV/cell
Crystal system   trigonal
Formation energy without anion corrections   -2.96 eV/atom

```
data_Tm6PtO12
_chemical_formula_sum 'Tm18 Pt3 O36'
_space_group_name_H-M_alt 'R -3'
_space_group_IT_number 148
_space_group_name_Hall '-R 3'
_cell_length_a 9.6945
_cell_length_b 9.6945
_cell_length_c 9.2219
_cell_angle_alpha 90.00
_cell_angle_beta 90.00
_cell_angle_gamma 120.00
loop_
_atom_site_label
_atom_site_type_symbol
_atom_site_fract_x
_atom_site_fract_y
_atom_site_fract_z
Tm1 Tm 0.0424 0.7874 0.1445
Pt1 Pt 0.0000 0.0000 0.5000
O1 O 0.0329 0.8106 0.9001
O2 O 0.0415 0.8472 0.3883
```

[2]
Compound: TmPt2O6
Source: the Alexandria database
Functional: GGA-PBE
Structure: relaxed

Values from the calculation:
DFT total energy   -58.245 eV/cell
Crystal system   trigonal
Formation energy without anion corrections   -1.33 eV/atom

```
data_TmPt2O6
_chemical_formula_sum 'Tm1 Pt2 O6'
_space_group_name_H-M_alt 'P -3 1 m'
_space_group_IT_number 162
_space_group_name_Hall '-P 3 2'
_cell_length_a 5.2654
_cell_length_b 5.2654
_cell_length_c 4.7274
_cell_angle_alpha 90.00
_cell_angle_beta 90.00
_cell_angle_gamma 120.00
loop_
_atom_site_label
_atom_site_type_symbol
_atom_site_fract_x
_atom_site_fract_y
_atom_site_fract_z
Tm1 Tm 0.0000 0.0000 0.0000
Pt1 Pt 0.3333 0.6667 0.5000
O1 O 0.0000 0.3520 0.7280
```

[3]
Compound: Tm4Pt6O19
Source: the Alexandria database
Functional: GGA-PBE
Structure: relaxed

Values from the calculation:
DFT total energy   -382.791 eV/cell
Crystal system   cubic
Formation energy without anion corrections   -1.48 eV/atom

```
data_Tm4Pt6O19
_chemical_formula_sum 'Tm8 Pt12 O38'
_space_group_name_H-M_alt 'I 2 3'
_space_group_IT_number 197
_space_group_name_Hall 'I 2 2 3'
_cell_length_a 9.0077
_cell_length_b 9.0077
_cell_length_c 9.0077
_cell_angle_alpha 90.00
_cell_angle_beta 90.00
_cell_angle_gamma 90.00
loop_
_atom_site_label
_atom_site_type_symbol
_atom_site_fract_x
_atom_site_fract_y
_atom_site_fract_z
Tm1 Tm 0.1456 0.1456 0.8544
Pt1 Pt 0.0000 0.3409 0.5000
O1 O 0.0000 0.0000 0.0000
O2 O 0.0000 0.0000 0.3297
O3 O 0.0240 0.3203 0.7175
```

[4]
Compound: Tm4Pt2O
Source: the Alexandria database
Functional: GGA-PBE
Structure: relaxed

Values from the calculation:
DFT total energy   -92.164 eV/cell
Crystal system   tetragonal
Formation energy without anion corrections   -1.59 eV/atom

```
data_Tm4Pt2O
_chemical_formula_sum 'Tm8 Pt4 O2'
_space_group_name_H-M_alt 'I 4/m m m'
_space_group_IT_number 139
_space_group_name_Hall '-I 4 2'
_cell_length_a 4.5023
_cell_length_b 4.5023
_cell_length_c 14.5483
_cell_angle_alpha 90.00
_cell_angle_beta 90.00
_cell_angle_gamma 90.00
loop_
_atom_site_label
_atom_site_type_symbol
_atom_site_fract_x
_atom_site_fract_y
_atom_site_fract_z
Tm1 Tm 0.0000 0.0000 0.1826
Tm2 Tm 0.0000 0.5000 0.0000
Pt1 Pt 0.0000 0.0000 0.3704
O1 O 0.0000 0.0000 0.0000
```

[5]
Compound: TmPtO2
Source: the Alexandria database
Functional: GGA-PBE
Structure: relaxed

Values from the calculation:
DFT total energy   -86.767 eV/cell
Crystal system   trigonal
Formation energy without anion corrections   -2.12 eV/atom

```
data_TmPtO2
_chemical_formula_sum 'Tm3 Pt3 O6'
_space_group_name_H-M_alt 'R -3 m'
_space_group_IT_number 166
_space_group_name_Hall '-R 3 2"'
_cell_length_a 3.3903
_cell_length_b 3.3903
_cell_length_c 18.4363
_cell_angle_alpha 90.00
_cell_angle_beta 90.00
_cell_angle_gamma 120.00
loop_
_atom_site_label
_atom_site_type_symbol
_atom_site_fract_x
_atom_site_fract_y
_atom_site_fract_z
Tm1 Tm 0.0000 0.0000 0.0000
Pt1 Pt 0.0000 0.0000 0.5000
O1 O 0.0000 0.0000 0.3901
```

[6]
Compound: TmZnPtO4
Source: the Alexandria database
Functional: GGA-PBE
Structure: relaxed

Values from the calculation:
DFT total energy   -173.975 eV/cell
Crystal system   orthorhombic
Formation energy without anion corrections   -1.70 eV/atom

```
data_TmZnPtO4
_chemical_formula_sum 'Tm4 Zn4 Pt4 O16'
_space_group_name_H-M_alt 'I m m a'
_space_group_IT_number 74
_space_group_name_Hall '-I 2b 2'
_cell_length_a 6.2964
_cell_length_b 6.5581
_cell_length_c 9.0217
_cell_angle_alpha 90.00
_cell_angle_beta 90.00
_cell_angle_gamma 90.00
loop_
_atom_site_label
_atom_site_type_symbol
_atom_site_fract_x
_atom_site_fract_y
_atom_site_fract_z
Tm1 Tm 0.0000 0.0000 0.0000
Zn1 Zn 0.0000 0.2500 0.3784
Pt1 Pt 0.2500 0.2500 0.7500
O1 O 0.0000 0.0394 0.7480
O2 O 0.2312 0.2500 0.0232
```

Q: Look up the DFT total energy of the fourth one.
A: -92.164 eV/cell